1.
First-principles (PBE) data for crystalline WAu3Br at its relaxed geometry, as listed in Alexandria via LeMat-Bulk.

a = 5.061 Å, b = 5.061 Å, c = 5.061 Å
α = 90.00°, β = 90.00°, γ = 90.00°
Positions (direct):
W  0.000  0.000  0.000
Au  0.000  0.500  0.500
Au  0.500  0.000  0.500
Au  0.500  0.500  0.000
Br  0.500  0.500  0.500

## Properties
total magnetization = 4.39 μB/f.u.
energy relative to the elements, uncorrected = 1897 meV/atom
calculated total energy = -14.97 eV/cell


2.
First-principles (PBE) data for crystalline CeZrCo4 at its relaxed geometry, as listed in Alexandria via LeMat-Bulk.

a = 4.947 Å, b = 4.947 Å, c = 4.947 Å
α = 60.00°, β = 60.00°, γ = 60.00°
Positions (direct):
Ce  0.000  0.000  0.000
Zr  0.250  0.250  0.250
Co  0.127  0.624  0.624
Co  0.624  0.127  0.624
Co  0.624  0.624  0.127
Co  0.624  0.624  0.624

## Properties
total magnetization = 0.00 μB/f.u.
calculated total energy = -44.19 eV/cell
formation energy = -214 meV per atom


3.
First-principles (PBE) data for crystalline Nd3SmDy at its relaxed geometry, as listed in Alexandria via LeMat-Bulk.

a = 5.495 Å, b = 7.738 Å, c = 8.148 Å
α = 90.00°, β = 90.00°, γ = 90.00°
Positions (direct):
Nd  0.250  0.044  0.245
Nd  0.250  0.456  0.245
Nd  0.250  0.750  0.543
Nd  0.750  0.250  0.457
Nd  0.750  0.544  0.755
Nd  0.750  0.956  0.755
Sm  0.250  0.750  0.947
Sm  0.750  0.250  0.053
Dy  0.250  0.250  0.763
Dy  0.750  0.750  0.237

## Properties
total magnetization = 0.00 μB/f.u.
calculated total energy = -45.45 eV/cell
formation energy = 180 meV per atom


4.
First-principles (PBE) data for crystalline NpBe2H6 at its relaxed geometry, as listed in Alexandria via LeMat-Bulk.

a = 4.579 Å, b = 4.579 Å, c = 4.579 Å
α = 60.00°, β = 60.00°, γ = 60.00°
Positions (direct):
Np  0.000  0.000  0.000
Be  0.250  0.250  0.250
Be  0.750  0.750  0.750
H  0.309  0.309  0.691
H  0.309  0.691  0.309
H  0.309  0.691  0.691
H  0.691  0.309  0.309
H  0.691  0.309  0.691
H  0.691  0.691  0.309

## Properties
total magnetization = 3.53 μB/f.u.
calculated total energy = -32.24 eV/cell